! PrDyPa2P4 | the Alexandria database | PBE | optimized geometry; values from VASP
! Magnetic moment: 0.000 μB per atom
! Formation enthalpy at 0 K: -137.8 kJ per mole of atoms
! DOS at the Fermi energy: 6.54 states/eV per cell
&SYSTEM
  ibrav = 0, nat = 8, ntyp = 4
/
ATOMIC_SPECIES
P 30.97 P.upf
Pa 231.04 Pa.upf
Dy 162.50 Dy.upf
Pr 140.91 Pr.upf
CELL_PARAMETERS angstrom
-3.8728 -0.5605 -0.9530
0.0228 -6.0612 3.4718
-1.7989 1.1252 6.6483
ATOMIC_POSITIONS crystal
P 0.0000 0.7642 0.7398
P 0.5000 0.7598 0.2520
P 0.0000 0.2358 0.2602
P 0.5000 0.2402 0.7480
Pa 0.5000 0.0000 0.5000
Pa 0.0000 0.0000 0.0000
Dy 0.0000 0.5000 0.5000
Pr 0.5000 0.5000 0.0000